La3ErN4, optimized geometry, DFT PBE-GGA; final energy = -7.97 eV per atom; formation energy without anion corrections = -11.116 eV per formula unit; spin magnetization = 0.00 μB per formula unit; space-group type = P2/c (13)
1.0
6.356 0.000 0.000
0.000 7.372 0.000
-2.101 0.000 5.999
La Er N
6 2 8
Direct
0.000 0.122 0.250 La
0.000 0.368 0.750 La
0.000 0.632 0.250 La
0.000 0.878 0.750 La
0.500 0.368 0.250 La
0.500 0.632 0.750 La
0.500 0.128 0.750 Er
0.500 0.872 0.250 Er
0.256 0.352 0.513 N
0.256 0.648 0.013 N
0.262 0.128 0.994 N
0.262 0.872 0.494 N
0.738 0.128 0.506 N
0.738 0.872 0.006 N
0.744 0.352 0.987 N
0.744 0.648 0.487 N

LaEr2NbN4, optimized geometry, DFT PBE-GGA; final energy = -8.50 eV per atom; formation energy without anion corrections = -10.541 eV per formula unit; spin magnetization = 0.00 μB per formula unit; space-group type = Cmcm (63)
1.0
1.712 -6.002 0.000
1.712 6.002 0.000
0.000 0.000 12.095
La Er Nb N
2 4 2 8
Direct
0.093 0.907 0.750 La
0.907 0.093 0.250 La
0.371 0.629 0.536 Er
0.371 0.629 0.964 Er
0.629 0.371 0.036 Er
0.629 0.371 0.464 Er
0.167 0.833 0.250 Nb
0.833 0.167 0.750 Nb
0.000 0.000 0.000 N
0.000 0.000 0.500 N
0.260 0.740 0.117 N
0.260 0.740 0.383 N
0.439 0.561 0.750 N
0.561 0.439 0.250 N
0.740 0.260 0.617 N
0.740 0.260 0.883 N

Q: What is the final energy in the second record?
A: -8.50 eV per atom